Computed, not measured: a geometry-optimized VW2Cl structure at the PBE level of DFT.

Geometry as POSCAR:
```
VW2Cl
1.0
-1.849 1.849 10.048
1.849 -1.849 10.048
1.849 1.849 -10.048
V W Cl
2 4 2
Cartesian
0.000 0.000 0.000 V
0.000 1.849 5.024 V
2.773 0.872 -2.512 W
0.872 0.924 2.512 W
-0.924 0.977 7.536 W
0.977 0.924 12.559 W
1.849 0.000 5.024 Cl
0.000 0.000 10.048 Cl
```

## Properties
relative energy among the computed polymorphs	0	meV per atom
symmetry	I-42d
ρ	10.98	g/cm³
uncorrected formation energy	1.0270	eV/atom
uncorrected energy	-8.191	eV/atom